No. 1
# CsGaFe, optimized geometry, DFT PBE-GGA
# Total magnetization in μB/atom: 0.6186
# DFT total energy in eV per atom: -2.821
# Symmetry: F-43m (216)
data_CsGaFe
_space_group_name_H-M_alt 'P 1'
_space_group_IT_number 1
_cell_length_a 4.6733
_cell_length_b 4.6733
_cell_length_c 4.6733
_cell_angle_alpha 60.00
_cell_angle_beta 60.00
_cell_angle_gamma 60.00
loop_
_space_group_symop_operation_xyz
'x,y,z'
loop_
_atom_site_label
_atom_site_fract_x
_atom_site_fract_y
_atom_site_fract_z
Cs1 0.0000 0.0000 0.0000
Ga1 0.5000 0.5000 0.5000
Fe1 0.2500 0.2500 0.2500

No. 2
# ZnCuReNi, optimized geometry, DFT PBE-GGA
# Total magnetization in μB/atom: 0.4147
# DFT total energy in eV per atom: -5.403
# Symmetry: F-43m (216)
# Offset from the most stable computed form in meV/atom: 29
# Formation enthalpy at 0 K in kJ per mole of atoms: 33
data_ZnCuReNi
_space_group_name_H-M_alt 'P 1'
_space_group_IT_number 1
_cell_length_a 4.1744
_cell_length_b 4.1744
_cell_length_c 4.1744
_cell_angle_alpha 60.00
_cell_angle_beta 60.00
_cell_angle_gamma 60.00
loop_
_space_group_symop_operation_xyz
'x,y,z'
loop_
_atom_site_label
_atom_site_fract_x
_atom_site_fract_y
_atom_site_fract_z
Zn1 0.0000 0.0000 0.0000
Cu1 0.2500 0.2500 0.2500
Re1 0.7500 0.7500 0.7500
Ni1 0.5000 0.5000 0.5000

No. 3
# Lu2S3, optimized geometry, DFT PBE-GGA
# Total magnetization in μB/atom: 0.0000
# DFT total energy in eV per atom: -6.359
# Symmetry: Fddd (70)
data_Lu2S3
_space_group_name_H-M_alt 'P 1'
_space_group_IT_number 1
_cell_length_a 12.7143
_cell_length_b 12.1348
_cell_length_c 6.6595
_cell_angle_alpha 79.32
_cell_angle_beta 69.70
_cell_angle_gamma 30.98
loop_
_space_group_symop_operation_xyz
'x,y,z'
loop_
_atom_site_label
_atom_site_fract_x
_atom_site_fract_y
_atom_site_fract_z
Lu1 0.0407 0.0407 0.2093
Lu2 0.1285 0.1285 0.6215
Lu3 0.2093 0.2093 0.0407
Lu4 0.3785 0.3785 0.8715
Lu5 0.6215 0.6215 0.1285
Lu6 0.7907 0.7907 0.9593
Lu7 0.8715 0.8715 0.3785
Lu8 0.9593 0.9593 0.7907
S1 0.0496 0.5399 0.1896
S2 0.1133 0.6367 0.6367
S3 0.1896 0.7209 0.0496
S4 0.2791 0.8104 0.4601
S5 0.3633 0.8867 0.8867
S6 0.4601 0.9504 0.2791
S7 0.5399 0.0496 0.7209
S8 0.6367 0.1133 0.1133
S9 0.7209 0.1896 0.5399
S10 0.8104 0.2791 0.9504
S11 0.8867 0.3633 0.3633
S12 0.9504 0.4601 0.8104

No. 4
# BaHoAu, optimized geometry, DFT PBE-GGA
# Total magnetization in μB/atom: 0.0006
# DFT total energy in eV per atom: -2.809
# Symmetry: F-43m (216)
# Offset from the most stable computed form in meV/atom: 323
data_BaHoAu
_space_group_name_H-M_alt 'P 1'
_space_group_IT_number 1
_cell_length_a 5.1955
_cell_length_b 5.1955
_cell_length_c 5.1955
_cell_angle_alpha 60.00
_cell_angle_beta 60.00
_cell_angle_gamma 60.00
loop_
_space_group_symop_operation_xyz
'x,y,z'
loop_
_atom_site_label
_atom_site_fract_x
_atom_site_fract_y
_atom_site_fract_z
Ba1 0.0000 0.0000 0.0000
Ho1 0.2500 0.2500 0.2500
Au1 0.7500 0.7500 0.7500

No. 5
# Tb3YC2S2, optimized geometry, DFT PBE-GGA
# Total magnetization in μB/atom: 0.0005
# DFT total energy in eV per atom: -7.122
# Symmetry: P3m1 (156)
data_Tb3YC2S2
_space_group_name_H-M_alt 'P 1'
_space_group_IT_number 1
_cell_length_a 3.7238
_cell_length_b 3.7238
_cell_length_c 12.9750
_cell_angle_alpha 90.00
_cell_angle_beta 90.00
_cell_angle_gamma 120.00
loop_
_space_group_symop_operation_xyz
'x,y,z'
loop_
_atom_site_label
_atom_site_fract_x
_atom_site_fract_y
_atom_site_fract_z
Tb1 0.0000 0.0000 0.0000
Tb2 0.0000 0.0000 0.2913
Tb3 0.6667 0.3333 0.5007
Y1 0.6667 0.3333 0.7914
C1 0.3333 0.6667 0.3963
C2 0.3333 0.6667 0.8959
S1 0.0000 0.0000 0.6468
S2 0.6667 0.3333 0.1461

No. 6
# GdHoSn2, optimized geometry, DFT PBE-GGA
# Total magnetization in μB/atom: 0.0021
# DFT total energy in eV per atom: -4.233
# Symmetry: Amm2 (38)
data_GdHoSn2
_space_group_name_H-M_alt 'P 1'
_space_group_IT_number 1
_cell_length_a 3.3387
_cell_length_b 6.8926
_cell_length_c 6.8926
_cell_angle_alpha 53.63
_cell_angle_beta 90.00
_cell_angle_gamma 90.00
loop_
_space_group_symop_operation_xyz
'x,y,z'
loop_
_atom_site_label
_atom_site_fract_x
_atom_site_fract_y
_atom_site_fract_z
Gd1 0.0000 0.0000 0.0000
Ho1 0.0000 0.2799 0.2799
Sn1 0.0000 0.5237 0.5237
Sn2 0.0000 0.7536 0.7536

No. 7
# GdTlAuSe3, optimized geometry, DFT PBE-GGA
# Total magnetization in μB/atom: 0.0004
# DFT total energy in eV per atom: -4.321
# Symmetry: Cmcm (63)
data_GdTlAuSe3
_space_group_name_H-M_alt 'P 1'
_space_group_IT_number 1
_cell_length_a 7.5879
_cell_length_b 7.5879
_cell_length_c 10.8087
_cell_angle_alpha 90.00
_cell_angle_beta 90.00
_cell_angle_gamma 149.10
loop_
_space_group_symop_operation_xyz
'x,y,z'
loop_
_atom_site_label
_atom_site_fract_x
_atom_site_fract_y
_atom_site_fract_z
Gd1 0.0000 0.0000 0.0000
Gd2 0.0000 0.0000 0.5000
Tl1 0.2414 0.7586 0.7500
Tl2 0.7586 0.2414 0.2500
Au1 0.4663 0.5337 0.2500
Au2 0.5337 0.4663 0.7500
Se1 0.0809 0.9191 0.2500
Se2 0.3629 0.6371 0.0527
Se3 0.3629 0.6371 0.4473
Se4 0.6371 0.3629 0.5527
Se5 0.6371 0.3629 0.9473
Se6 0.9191 0.0809 0.7500

No. 8
# CsNdBiTe3, optimized geometry, DFT PBE-GGA
# Total magnetization in μB/atom: 0.0010
# DFT total energy in eV per atom: -3.994
# Symmetry: Cmcm (63)
data_CsNdBiTe3
_space_group_name_H-M_alt 'P 1'
_space_group_IT_number 1
_cell_length_a 9.4366
_cell_length_b 9.4366
_cell_length_c 11.8798
_cell_angle_alpha 90.00
_cell_angle_beta 90.00
_cell_angle_gamma 151.59
loop_
_space_group_symop_operation_xyz
'x,y,z'
loop_
_atom_site_label
_atom_site_fract_x
_atom_site_fract_y
_atom_site_fract_z
Cs1 0.2408 0.7592 0.7500
Cs2 0.7592 0.2408 0.2500
Nd1 0.0000 0.0000 0.0000
Nd2 0.0000 0.0000 0.5000
Bi1 0.4619 0.5381 0.2500
Bi2 0.5381 0.4619 0.7500
Te1 0.0866 0.9134 0.2500
Te2 0.3778 0.6222 0.0306
Te3 0.3778 0.6222 0.4694
Te4 0.6222 0.3778 0.5306
Te5 0.6222 0.3778 0.9694
Te6 0.9134 0.0866 0.7500

What is the formula in the fourth record? BaHoAu